Entry from the Alexandria database: NaNiO2 after structural relaxation (GGA+U).

Lattice parameters (Å, degrees): 6.4031 6.4031 6.4031 26.83 26.83 26.83
Positions (direct):
Na1 0.0000 0.0000 0.0000
Ni1 0.5000 0.5000 0.5000
O1 0.1125 0.1125 0.1125
O2 0.8875 0.8875 0.8875

## Properties
E, eV per atom: -4.235
Crystal system: trigonal
Magnetic moment, μB per atom: 0.250
DOS(E_F), states/eV/f.u.: 1.05